[1]
A plane-wave DFT calculation with PBE was carried out for a relaxed Ca2LaTlOs crystal.

Its formation enthalpy at 0 K is 0.781 eV per atom. The excess energy over the best structure of this formula in the dataset is 73.4 kJ per mole of atoms. As for the volume: 163.5 Å³/cell.

The structure belongs to space group P4/mmm (No. 123); the cell edges are 5.598, 5.598 and 5.217 Å and the angles 90.00°, 90.00° and 90.00°. The distinct sites, in fractional coordinates, are Ca at (0.000, 0.500, 0.000), La at (0.000, 0.000, 0.500), Tl at (0.500, 0.500, 0.000) and Os at (0.500, 0.500, 0.500).


[2]
A plane-wave DFT calculation with PBE was carried out for a relaxed CaLaVOs2 crystal.

Its formation enthalpy at 0 K is 1.891 eV per atom. As for the volume: 109.5 Å³/cell.

The structure belongs to space group P4/mmm (No. 123); the cell edges are 4.959, 4.959 and 4.452 Å and the angles 90.00°, 90.00° and 90.00°. The distinct sites, in fractional coordinates, are Ca at (0.000, 0.000, 0.000), La at (0.500, 0.500, 0.500), V at (0.000, 0.000, 0.500) and Os at (0.000, 0.500, 0.000).


[3]
A plane-wave DFT calculation with PBE was carried out for a relaxed CaLa2YOs crystal.

Its formation enthalpy at 0 K is -0.089 eV per atom. As for the volume: 179.6 Å³/cell.

The structure belongs to space group P4/mmm (No. 123); the cell edges are 5.663, 5.663 and 5.602 Å and the angles 90.00°, 90.00° and 90.00°. The distinct sites, in fractional coordinates, are Ca at (0.000, 0.000, 0.000), La at (0.000, 0.500, 0.500), Y at (0.500, 0.500, 0.000) and Os at (0.500, 0.500, 0.500).